Entry 1:
Entry from Alexandria: LiMnSi4 at its PBEsol-relaxed geometry (meta-GGA SCAN).

## Properties
uncorrected formation energy	206.4	meV/atom
spin magnetization	4.23	Bohr magnetons per cell
space group	F-43m, No. 216
VASP energy	-9.912	eV/atom

Lattice parameters (Å, degrees): 4.9381 4.9381 4.9381 60.00 60.00 60.00
Closest atoms and distances in Å follow each position.
Positions (direct):
Si1 0.3754 0.8737 0.3754  6 Si 2.46-2.48
Si2 0.3754 0.3754 0.3754  6 Si 2.46-2.48
Li1 0.7500 0.7500 0.7500  12 Si 2.89, 4 Mn 3.02
Mn1 0.0000 0.0000 0.0000  12 Si 2.90, 4 Li 3.02
Si3 0.8737 0.3754 0.3754  6 Si 2.46-2.48
Si4 0.3754 0.3754 0.8737  6 Si 2.46-2.48

Entry 2:
Entry from Alexandria: Mg4CuAs at its PBEsol-relaxed geometry (meta-GGA SCAN).

## Properties
spin magnetization	0.00	Bohr magnetons per cell
space group	F-43m, No. 216
VASP energy	-8.893	eV/atom

Lattice parameters (Å, degrees): 5.5497 5.5497 5.5497 60.00 60.00 60.00
Closest atoms and distances in Å follow each position.
Positions (direct):
Cu1 0.0000 0.0000 0.0000  12 Mg 3.25, 4 As 3.40
As1 0.7500 0.7500 0.7500  12 Mg 3.25, 4 Cu 3.40
Mg1 0.3753 0.3753 0.3753  6 Mg 2.77-2.78
Mg2 0.8742 0.3753 0.3753  6 Mg 2.77-2.78
Mg3 0.3753 0.3753 0.8742  6 Mg 2.77-2.78
Mg4 0.3753 0.8742 0.3753  6 Mg 2.77-2.78

Entry 3:
Entry from Alexandria: RbCoAg3 at its PBEsol-relaxed geometry (meta-GGA SCAN).

## Properties
spin magnetization	2.10	Bohr magnetons per cell
energy above the most stable polymorph in this dataset	0.0	meV per atom
space group	Pm-3m, No. 221
VASP energy	-25.819	eV/atom

Lattice parameters (Å, degrees): 4.9249 4.9249 4.9249 90.00 90.00 90.00
Closest atoms and distances in Å follow each position.
Positions (direct):
Co1 0.0000 0.0000 0.0000  6 Ag 2.46
Ag1 0.5000 0.0000 0.0000  2 Co 2.46
Rb1 0.5000 0.5000 0.5000  12 Ag 3.48
Ag2 0.0000 0.5000 0.0000  2 Co 2.46
Ag3 0.0000 0.0000 0.5000  2 Co 2.46

Entry 4:
Entry from Alexandria: BaLaY2 at its PBEsol-relaxed geometry (meta-GGA SCAN).

## Properties
spin magnetization	0.00	Bohr magnetons per cell
space group	I-4m2, No. 119
VASP energy	-34.326	eV/atom

Lattice parameters (Å, degrees): 5.2182 5.2182 6.3757 114.16 114.16 90.00
Closest atoms and distances in Å follow each position.
Positions (direct):
La1 0.2500 0.7500 0.5000  8 Y 3.68-3.69, 4 Ba 3.68
Y1 0.7500 0.2500 0.5000  4 Y 3.68, 4 Ba 3.68, 4 La 3.69
Y2 0.0000 0.0000 0.0000  4 La 3.68, 4 Y 3.68, 4 Ba 3.69
Ba1 0.5000 0.5000 0.0000  4 La 3.68, 8 Y 3.68-3.69

Entry 5:
Entry from Alexandria: CrB3O at its PBEsol-relaxed geometry (meta-GGA SCAN).

## Properties
uncorrected formation energy	1257.7	meV/atom
spin magnetization	0.32	Bohr magnetons per cell
energy above the most stable polymorph in this dataset	0.0	meV per atom
space group	Pm-3m, No. 221
VASP energy	-8.123	eV/atom

Lattice parameters (Å, degrees): 3.3713 3.3713 3.3713 90.00 90.00 90.00
Closest atoms and distances in Å follow each position.
Positions (direct):
B1 0.0000 0.5000 0.0000  2 O 1.69
B2 0.0000 0.0000 0.5000  2 O 1.69
O1 0.0000 0.0000 0.0000  6 B 1.69
Cr1 0.5000 0.5000 0.5000  12 B 2.38
B3 0.5000 0.0000 0.0000  2 O 1.69

Entry 6:
Entry from Alexandria: Sc2CS at its PBEsol-relaxed geometry (meta-GGA SCAN).

## Properties
uncorrected formation energy	-524.9	meV/atom
spin magnetization	0.00	Bohr magnetons per cell
space group	Fm-3m, No. 225
VASP energy	-12.575	eV/atom

Lattice parameters (Å, degrees): 4.2936 4.2936 4.2936 60.00 60.00 60.00
Closest atoms and distances in Å follow each position.
Positions (direct):
Sc1 0.2500 0.2500 0.2500  4 S 2.63, 4 C 2.63
Sc2 0.7500 0.7500 0.7500  4 C 2.63, 4 S 2.63
C1 0.0000 0.0000 0.0000  8 Sc 2.63
S1 0.5000 0.5000 0.5000  8 Sc 2.63

Entry 7:
Entry from Alexandria: La4AlRe at its PBEsol-relaxed geometry (meta-GGA SCAN).

## Properties
spin magnetization	0.00	Bohr magnetons per cell
space group	F-43m, No. 216
VASP energy	-40.949	eV/atom

Lattice parameters (Å, degrees): 6.0780 6.0780 6.0780 60.00 60.00 60.00
Closest atoms and distances in Å follow each position.
Positions (direct):
Re1 0.7500 0.7500 0.7500  12 La 3.56, 4 Al 3.72
La1 0.8721 0.3760 0.3760  6 La 3.02-3.06
La2 0.3760 0.8721 0.3760  6 La 3.02-3.06
La3 0.3760 0.3760 0.8721  6 La 3.02-3.06
La4 0.3760 0.3760 0.3760  6 La 3.02-3.06
Al1 0.0000 0.0000 0.0000  12 La 3.57, 4 Re 3.72

Entry 8:
Entry from Alexandria: SrRe3 at its PBEsol-relaxed geometry (meta-GGA SCAN).

## Properties
spin magnetization	0.00	Bohr magnetons per cell
energy above the most stable polymorph in this dataset	230.0	meV per atom
space group	Immm, No. 71
VASP energy	-57.933	eV/atom

Lattice parameters (Å, degrees): 2.8007 5.0346 5.8571 115.45 103.83 90.00
Closest atoms and distances in Å follow each position.
Positions (direct):
Sr1 0.0000 0.5000 0.0000  2 Sr 2.80, 4 Re 2.88
Re1 0.7846 0.7846 0.5692  4 Re 2.61-2.80
Re2 0.2154 0.2154 0.4308  4 Re 2.61-2.80
Re3 0.5000 0.0000 0.0000  6 Re 2.61-2.80, 4 Sr 2.88

Entry 9:
Entry from Alexandria: CrSiHg2Os at its PBEsol-relaxed geometry (meta-GGA SCAN).

## Properties
uncorrected formation energy	1035.1	meV/atom
spin magnetization	3.90	Bohr magnetons per cell
space group	P4/mmm, No. 123
VASP energy	-46.287	eV/atom

Lattice parameters (Å, degrees): 4.4549 4.8375 4.8375 90.00 90.00 90.00
Closest atoms and distances in Å follow each position.
Positions (direct):
Hg1 0.0000 0.5000 0.0000  2 Si 2.42
Os1 0.5000 0.0000 0.0000  2 Si 2.23
Hg2 0.0000 0.0000 0.5000  2 Si 2.42
Cr1 0.5000 0.5000 0.5000  8 Hg 3.29, 4 Os 3.42
Si1 0.0000 0.0000 0.0000  2 Os 2.23, 4 Hg 2.42

Entry 10:
Entry from Alexandria: CrS2IN at its PBEsol-relaxed geometry (meta-GGA SCAN).

## Properties
uncorrected formation energy	353.1	meV/atom
spin magnetization	1.16	Bohr magnetons per cell
space group	P4/mmm, No. 123
VASP energy	-16.382	eV/atom

Lattice parameters (Å, degrees): 3.5676 4.6969 4.6969 90.00 90.00 90.00
Closest atoms and distances in Å follow each position.
Positions (direct):
Cr1 0.0000 0.0000 0.0000  2 N 1.78
S1 0.0000 0.0000 0.5000  2 Cr 2.35
S2 0.0000 0.5000 0.0000  2 Cr 2.35
I1 0.5000 0.5000 0.5000  8 S 2.95
N1 0.5000 0.0000 0.0000  2 Cr 1.78

Entry 11:
Entry from Alexandria: BaCaTe2 at its PBEsol-relaxed geometry (meta-GGA SCAN).

## Properties
uncorrected formation energy	-1708.4	meV/atom
spin magnetization	0.00	Bohr magnetons per cell
energy above the most stable polymorph in this dataset	184.1	meV per atom
space group	Amm2, No. 38
VASP energy	-32.637	eV/atom

Lattice parameters (Å, degrees): 4.3786 5.0402 6.8635 90.00 108.60 90.00
Closest atoms and distances in Å follow each position.
Positions (direct):
Te1 0.9916 0.5000 0.9832  1 Ca 3.03, 4 Ba 3.35
Te2 0.2403 0.0000 0.4806  4 Ca 3.35, 3 Ba 3.50-3.72
Ca1 0.7586 0.5000 0.5172  5 Te 3.03-3.35
Ba1 0.5095 0.0000 0.0190  7 Te 3.35-3.72

Entry 12:
Entry from Alexandria: CaLaPt2 at its PBEsol-relaxed geometry (meta-GGA SCAN).

## Properties
spin magnetization	0.00	Bohr magnetons per cell
space group	P4/mmm, No. 123
VASP energy	-49.448	eV/atom

Lattice parameters (Å, degrees): 3.5550 3.5550 6.9441 90.00 90.00 90.00
Closest atoms and distances in Å follow each position.
Positions (direct):
La1 0.5000 0.5000 0.5000  8 Pt 3.04
Pt1 0.0000 0.0000 0.7461  4 La 3.04, 4 Ca 3.07
Ca1 0.5000 0.5000 0.0000  8 Pt 3.07
Pt2 0.0000 0.0000 0.2539  4 La 3.04, 4 Ca 3.07

Entry 13:
Entry from Alexandria: Al2NiIr at its PBEsol-relaxed geometry (meta-GGA SCAN).

## Properties
spin magnetization	0.00	Bohr magnetons per cell
space group	Cmmm, No. 65
VASP energy	-26.665	eV/atom

Lattice parameters (Å, degrees): 2.8649 4.2336 4.2336 96.68 90.00 90.00
Closest atoms and distances in Å follow each position.
Positions (direct):
Al1 0.0000 0.5000 0.0000  4 Ir 2.56, 4 Ni 2.56, 2 Al 2.81
Ni1 0.5000 0.5000 0.5000  8 Al 2.56, 2 Ir 2.81
Al2 0.0000 0.0000 0.5000  4 Ni 2.56, 4 Ir 2.56, 2 Al 2.81
Ir1 0.5000 0.0000 0.0000  8 Al 2.56, 2 Ni 2.81

Entry 14:
Entry from Alexandria: Dy3Ru at its PBEsol-relaxed geometry (meta-GGA SCAN).

## Properties
spin magnetization	0.00	Bohr magnetons per cell
space group	Pnma, No. 62
VASP energy	-44.952	eV/atom

Lattice parameters (Å, degrees): 6.1847 7.1818 9.0255 90.00 90.00 90.00
Closest atoms and distances in Å follow each position.
Positions (direct):
Dy1 0.8320 0.8222 0.9360  2 Ru 2.80-2.87
Ru1 0.9579 0.1145 0.7500  6 Dy 2.71-2.87
Dy2 0.8671 0.5401 0.2500  2 Ru 2.71-2.76
Dy3 0.1680 0.1778 0.4360  2 Ru 2.80-2.87
Dy4 0.6680 0.3222 0.5640  2 Ru 2.80-2.87
Dy5 0.1680 0.1778 0.0640  2 Ru 2.80-2.87
Dy6 0.3671 0.9599 0.7500  2 Ru 2.71-2.76
Dy7 0.6680 0.3222 0.9360  2 Ru 2.80-2.87
Dy8 0.8320 0.8222 0.5640  2 Ru 2.80-2.87
Ru2 0.0421 0.8855 0.2500  6 Dy 2.71-2.87
Dy9 0.3320 0.6778 0.0640  2 Ru 2.80-2.87
Dy10 0.1329 0.4599 0.7500  2 Ru 2.71-2.76
Dy11 0.6329 0.0401 0.2500  2 Ru 2.71-2.76
Dy12 0.3320 0.6778 0.4360  2 Ru 2.80-2.87
Ru3 0.5421 0.6145 0.7500  6 Dy 2.71-2.87
Ru4 0.4579 0.3855 0.2500  6 Dy 2.71-2.87

Entry 15:
Entry from Alexandria: PrFe4As12 at its PBEsol-relaxed geometry (meta-GGA SCAN).

## Properties
spin magnetization	0.98	Bohr magnetons per cell
space group	Im-3, No. 204
VASP energy	-21.452	eV/atom

Lattice parameters (Å, degrees): 7.1358 7.1358 7.1358 109.47 109.47 109.47
Closest atoms and distances in Å follow each position.
Positions (direct):
As1 0.3438 0.5014 0.1576  2 Fe 2.33, 2 As 2.57-2.60
As2 0.4986 0.8424 0.6562  2 Fe 2.33, 2 As 2.57-2.60
As3 0.1576 0.3438 0.5014  2 Fe 2.33, 2 As 2.57-2.60
As4 0.6562 0.4986 0.8424  2 Fe 2.33, 2 As 2.57-2.60
As5 0.8424 0.3438 0.1861  2 Fe 2.33, 2 As 2.57-2.60
Fe1 0.5000 0.5000 0.5000  6 As 2.33
As6 0.5014 0.1576 0.3438  2 Fe 2.33, 2 As 2.57-2.60
As7 0.3438 0.1861 0.8424  2 Fe 2.33, 2 As 2.57-2.60
As8 0.1861 0.8424 0.3438  2 Fe 2.33, 2 As 2.57-2.60
Fe2 0.0000 0.0000 0.5000  6 As 2.33
Pr1 0.0000 0.0000 0.0000  12 As 3.12
As9 0.6562 0.8139 0.1576  2 Fe 2.33, 2 As 2.57-2.60
Fe3 0.5000 0.0000 0.0000  6 As 2.33
Fe4 0.0000 0.5000 0.0000  6 As 2.33
As10 0.8424 0.6562 0.4986  2 Fe 2.33, 2 As 2.57-2.60
As11 0.1576 0.6562 0.8139  2 Fe 2.33, 2 As 2.57-2.60
As12 0.8139 0.1576 0.6562  2 Fe 2.33, 2 As 2.57-2.60

Entry 16:
Entry from Alexandria: ReAs2Rh at its PBEsol-relaxed geometry (meta-GGA SCAN).

## Properties
spin magnetization	0.00	Bohr magnetons per cell
energy above the most stable polymorph in this dataset	0.0	meV per atom
space group	Pmm2, No. 25
VASP energy	-36.306	eV/atom

Lattice parameters (Å, degrees): 2.9733 3.8543 5.2024 90.00 90.00 90.00
Closest atoms and distances in Å follow each position.
Positions (direct):
Rh1 0.5000 0.5000 0.7932  6 As 2.56-2.64
As1 0.5000 0.5000 0.3008  2 Rh 2.56-2.64, 4 Re 2.57
As2 0.0000 0.0000 0.9444  2 Re 2.51-2.69, 4 Rh 2.56
Re1 0.0000 0.0000 0.4616  6 As 2.51-2.69

Entry 17:
Entry from Alexandria: Li3PbF at its PBEsol-relaxed geometry (meta-GGA SCAN).

## Properties
uncorrected formation energy	-1367.1	meV/atom
spin magnetization	0.00	Bohr magnetons per cell
space group	Pm-3m, No. 221
VASP energy	-18.665	eV/atom

Lattice parameters (Å, degrees): 4.1964 4.1964 4.1964 90.00 90.00 90.00
Closest atoms and distances in Å follow each position.
Positions (direct):
F1 0.0000 0.0000 0.0000  6 Li 2.10
Li1 0.0000 0.5000 0.0000  2 F 2.10
Li2 0.0000 0.0000 0.5000  2 F 2.10
Pb1 0.5000 0.5000 0.5000  12 Li 2.97
Li3 0.5000 0.0000 0.0000  2 F 2.10

Entry 18:
Entry from Alexandria: SnBiS2 at its PBEsol-relaxed geometry (meta-GGA SCAN).

## Properties
uncorrected formation energy	23.5	meV/atom
spin magnetization	0.00	Bohr magnetons per cell
space group	Fm-3m, No. 225
VASP energy	-33.416	eV/atom

Lattice parameters (Å, degrees): 4.9391 4.9391 4.9391 60.00 60.00 60.00
Closest atoms and distances in Å follow each position.
Positions (direct):
Bi1 0.5000 0.5000 0.5000  8 S 3.02
Sn1 0.0000 0.0000 0.0000  8 S 3.02
S1 0.2500 0.2500 0.2500  4 Sn 3.02, 4 Bi 3.02
S2 0.7500 0.7500 0.7500  4 Bi 3.02, 4 Sn 3.02

Entry 19:
Entry from Alexandria: Y2AlHg at its PBEsol-relaxed geometry (meta-GGA SCAN).

## Properties
spin magnetization	0.05	Bohr magnetons per cell
energy above the most stable polymorph in this dataset	0.0	meV per atom
space group	Amm2, No. 38
VASP energy	-33.518	eV/atom

Lattice parameters (Å, degrees): 3.7935 4.5180 6.0255 90.00 108.31 90.00
Closest atoms and distances in Å follow each position.
Positions (direct):
Al1 0.3007 0.0000 0.4759  2 Hg 2.83, 5 Y 3.08-3.14
Hg1 0.4489 0.5000 0.7733  2 Al 2.83, 5 Y 3.08-3.14
Y1 0.0260 0.0000 0.9278  4 Hg 3.08, 3 Al 3.14-3.21
Y2 0.7244 0.5000 0.3230  4 Al 3.08, 3 Hg 3.14-3.20

Entry 20:
Entry from Alexandria: NaSnPHO4F at its PBEsol-relaxed geometry (meta-GGA SCAN).

## Properties
spin magnetization	0.00	Bohr magnetons per cell
space group	Pnma, No. 62
VASP energy	-11.295	eV/atom

Lattice parameters (Å, degrees): 4.7630 5.2006 18.6214 90.00 90.00 90.00
Closest atoms and distances in Å follow each position.
Positions (direct):
P1 0.2553 0.7500 0.3680  4 O 1.52-1.62
F1 0.3222 0.2500 0.0339  1 Sn 2.06, 1 Na 2.28
O1 0.9395 0.7500 0.3777  1 P 1.52
P2 0.2447 0.2500 0.8680  4 O 1.52-1.62
O2 0.2030 0.2500 0.7817  1 H 1.01
O3 0.8961 0.9927 0.1013  1 P 1.54
O4 0.6039 0.4927 0.6013  1 P 1.54
Na1 0.7258 0.7500 0.4934  1 F 2.28, 3 O 2.38-2.48
O5 0.6039 0.0073 0.6013  1 P 1.54
H1 0.9943 0.7500 0.2388  1 O 1.01
F2 0.1778 0.7500 0.5339  1 Sn 2.06, 1 Na 2.28
O6 0.3961 0.5073 0.3987  1 P 1.54
O7 0.0605 0.2500 0.6223  1 P 1.52
O8 0.1039 0.4927 0.8987  1 P 1.54
O9 0.8961 0.5073 0.1013  1 P 1.54
P3 0.7447 0.2500 0.6320  4 O 1.52-1.62
H2 0.0057 0.2500 0.7612  1 O 1.01
Na2 0.2258 0.7500 0.0066  1 F 2.28, 3 O 2.38-2.48
Sn1 0.7768 0.7500 0.8584  1 F 2.06, 2 O 2.19
Na3 0.7742 0.2500 0.9934  1 F 2.28, 3 O 2.38-2.48
Sn2 0.2232 0.2500 0.1416  1 F 2.06, 2 O 2.19
P4 0.7553 0.7500 0.1320  4 O 1.52-1.62
O10 0.4395 0.7500 0.1223  1 P 1.52
O11 0.1039 0.0073 0.8987  1 P 1.54
Na4 0.2742 0.2500 0.5066  1 F 2.28, 3 O 2.38-2.48
O12 0.5605 0.2500 0.8777  1 P 1.52
H3 0.4943 0.7500 0.2612  1 O 1.01
O13 0.2970 0.7500 0.2817  1 H 1.01
O14 0.7970 0.7500 0.2183  1 H 1.01
F3 0.8222 0.2500 0.4661  1 Sn 2.06, 1 Na 2.28
O15 0.3961 0.9927 0.3987  1 P 1.54
O16 0.7030 0.2500 0.7183  1 H 1.01
Sn3 0.2768 0.7500 0.6415  1 F 2.06, 2 O 2.19
H4 0.5057 0.2500 0.7388  1 O 1.01
F4 0.6778 0.7500 0.9661  1 Sn 2.06, 1 Na 2.28
Sn4 0.7232 0.2500 0.3584  1 F 2.06, 2 O 2.19